VASP calculation (PBEsol) on HfAg3Rh after structural relaxation.

abc: 4.919 4.919 4.919
angles: 90.00 90.00 90.00
Atoms (fractional coordinates):
Hf 0.000 0.000 0.000
Ag 0.000 0.000 0.500
Ag 0.000 0.500 0.000
Ag 0.500 0.000 0.000
Rh 0.500 0.500 0.500

Calculated values
symmetry	No. 221
ΔE_f	1.842	eV/atom
magnetization	0.00	μB per formula unit
raw total energy	-19.37	eV per formula unit
energy above the most stable polymorph in this dataset	589	meV/atom

***

VASP calculation (PBEsol) on Hf2AgRh2 after structural relaxation.

abc: 7.433 7.433 3.132
angles: 90.00 90.00 90.00
Atoms (fractional coordinates):
Hf 0.161 0.339 0.000
Hf 0.339 0.839 0.000
Hf 0.661 0.161 0.000
Hf 0.839 0.661 0.000
Ag 0.000 0.000 0.500
Ag 0.500 0.500 0.500
Rh 0.137 0.637 0.500
Rh 0.363 0.137 0.500
Rh 0.637 0.863 0.500
Rh 0.863 0.363 0.500

Calculated values
symmetry	No. 127
ΔE_f	-0.616	eV/atom
magnetization	0.00	μB per formula unit
raw total energy	-43.67	eV per formula unit